1.
Zn2WAu | GGA-PBE | optimized geometry

a = 9.137 Å, b = 9.137 Å, c = 9.137 Å
α = 18.02°, β = 18.02°, γ = 18.02°
Element x y z (fractional)
Au: 0.250 0.250 0.250
W: 0.750 0.750 0.750
Zn: 0.001 0.001 0.001
Zn: 0.499 0.499 0.499

Results
N(E_F): 0.833 states/eV per atom
Size of the total moment: 0.0 μB per cell
Mass density: 13.33 g/cm³
Energy of formation from the pure elements: 0.15 eV/atom

2.
ZnWAu4 | GGA-PBE | optimized geometry

a = 5.426 Å, b = 5.426 Å, c = 5.426 Å
α = 60.00°, β = 60.00°, γ = 60.00°
Last column: magnetic moment on the atom in μB.
Element x y z (fractional)
Zn: 0.000 0.000 0.000  -0.04
W: 0.750 0.750 0.750  2.20
Au: 0.875 0.375 0.375  0.04
Au: 0.375 0.375 0.875  0.04
Au: 0.375 0.875 0.375  0.04
Au: 0.375 0.375 0.375  0.04

Results
N(E_F): 0.501 states/eV per atom
Size of the total moment: 2.8 μB per cell
Mass density: 15.24 g/cm³
Energy of formation from the pure elements: 0.69 eV/atom

3.
Zn2WAu | GGA-PBE | optimized geometry

a = 2.753 Å, b = 2.753 Å, c = 8.247 Å
α = 90.00°, β = 90.00°, γ = 90.00°
Element x y z (fractional)
Au: 0.500 0.500 0.250
W: 0.500 0.500 0.750
Zn: 0.000 0.000 0.996
Zn: 0.000 0.000 0.504

Results
N(E_F): 0.458 states/eV per atom
Size of the total moment: 0.0 μB per cell
Mass density: 13.59 g/cm³
Energy of formation from the pure elements: 0.08 eV/atom